# 1
## LaPr6Y2Mg (PBE-GGA)

Data for a relaxed structure of LaPr6Y2Mg.

a = 9.846 Å, b = 8.934 Å, c = 8.934 Å
α = 117.13°, β = 85.08°, γ = 85.08°
Fractional positions:
1 La 0.250 0.903 0.097
2 La 0.750 0.097 0.903
3 Pr 0.118 0.014 0.799
4 Pr 0.382 0.201 0.986
5 Pr 0.882 0.986 0.201
6 Pr 0.618 0.799 0.014
7 Pr 0.320 0.075 0.520
8 Pr 0.180 0.480 0.925
9 Pr 0.680 0.925 0.480
10 Pr 0.820 0.520 0.075
11 Pr 0.061 0.745 0.387
12 Pr 0.439 0.613 0.255
13 Pr 0.939 0.255 0.613
14 Pr 0.561 0.387 0.745
15 Y 0.448 0.761 0.682
16 Y 0.052 0.318 0.239
17 Y 0.552 0.239 0.318
18 Y 0.948 0.682 0.761
19 Mg 0.250 0.471 0.529
20 Mg 0.750 0.529 0.471

## Properties
space group = No. 15
energy of formation = 0.089 eV per atom
theoretical density = 5.71 g/cm³
N(E_F) = 14.93 states/eV/f.u.



# 2
## La4Pr2YMg (PBE-GGA)

Data for a relaxed structure of La4Pr2YMg.

a = 5.166 Å, b = 5.169 Å, c = 11.561 Å
α = 63.43°, β = 90.00°, γ = 90.00°
Fractional positions:
1 La 0.000 0.747 0.754
2 La 0.000 0.253 0.246
3 La 0.500 0.753 0.247
4 La 0.500 0.247 0.754
5 Pr 0.000 0.000 0.000
6 Pr 0.500 0.000 0.500
7 Y 0.000 0.500 0.500
8 Mg 0.500 0.500 0.000

## Properties
space group = No. 123
energy of formation = -0.003 eV per atom
theoretical density = 5.72 g/cm³
N(E_F) = 11.53 states/eV/f.u.



# 3
## La2Pr4YMg (PBE-GGA)

Data for a relaxed structure of La2Pr4YMg.

a = 5.988 Å, b = 5.981 Å, c = 9.704 Å
α = 51.96°, β = 90.00°, γ = 90.00°
Fractional positions:
1 La 0.000 0.000 0.000
2 La 0.500 0.000 0.500
3 Pr 0.000 0.766 0.734
4 Pr 0.000 0.234 0.266
5 Pr 0.500 0.735 0.265
6 Pr 0.500 0.265 0.735
7 Y 0.500 0.500 0.000
8 Mg 0.000 0.500 0.500

## Properties
space group = No. 123
energy of formation = 0.070 eV per atom
theoretical density = 5.79 g/cm³
N(E_F) = 13.84 states/eV/f.u.



# 4
## LaPrYMg (PBE-GGA)

Data for a relaxed structure of LaPrYMg.

a = 3.782 Å, b = 3.782 Å, c = 9.024 Å
α = 90.00°, β = 90.00°, γ = 90.00°
Fractional positions:
1 La 0.000 0.000 0.078
2 Pr 0.500 0.500 0.793
3 Y 0.500 0.500 0.352
4 Mg 0.000 0.000 0.562

## Properties
space group = No. 99
energy of formation = -0.039 eV per atom
theoretical density = 5.06 g/cm³
energy relative to the lowest polymorph listed for this composition = 0.000 eV per atom
N(E_F) = 4.96 states/eV/f.u.



# 5
## LaPrYMg (PBE-GGA)

Data for a relaxed structure of LaPrYMg.

a = 5.686 Å, b = 5.686 Å, c = 5.686 Å
α = 60.00°, β = 60.00°, γ = 60.00°
Fractional positions:
1 Pr 0.500 0.500 0.500
2 Y 0.750 0.750 0.750
3 Mg 0.250 0.250 0.250
4 La 0.000 0.000 0.000

## Properties
space group = No. 216
energy of formation = 0.020 eV per atom
theoretical density = 5.02 g/cm³
energy relative to the lowest polymorph listed for this composition = 0.059 eV per atom
N(E_F) = 4.79 states/eV/f.u.



# 6
## LaPr2YMg (PBE-GGA)

Data for a relaxed structure of LaPr2YMg.

a = 6.956 Å, b = 7.838 Å, c = 6.174 Å
α = 90.00°, β = 90.00°, γ = 90.00°
Fractional positions:
1 La 0.592 0.000 0.250
2 La 0.408 0.000 0.750
3 Pr 0.707 0.712 0.750
4 Pr 0.707 0.288 0.750
5 Pr 0.293 0.712 0.250
6 Pr 0.293 0.288 0.250
7 Y 0.163 0.500 0.750
8 Y 0.837 0.500 0.250
9 Mg 0.000 0.000 0.000
10 Mg 0.000 0.000 0.500

## Properties
space group = No. 51
energy of formation = 0.128 eV per atom
theoretical density = 5.27 g/cm³
N(E_F) = 5.85 states/eV/f.u.



# 7
## La3Pr6Y2Mg (PBE-GGA)

Data for a relaxed structure of La3Pr6Y2Mg.

a = 6.365 Å, b = 6.365 Å, c = 12.074 Å
α = 95.09°, β = 95.09°, γ = 120.10°
Fractional positions:
1 La 0.168 0.832 0.500
2 La 0.832 0.168 0.500
3 La 0.500 0.500 0.500
4 Pr 0.920 0.590 0.757
5 Pr 0.750 0.750 0.245
6 Pr 0.080 0.410 0.243
7 Pr 0.590 0.920 0.757
8 Pr 0.250 0.250 0.755
9 Pr 0.410 0.080 0.243
10 Y 0.333 0.667 0.000
11 Y 0.667 0.333 0.000
12 Mg 0.000 0.000 0.000

## Properties
space group = No. 12
energy of formation = 0.026 eV per atom
theoretical density = 5.84 g/cm³
N(E_F) = 17.25 states/eV/f.u.



# 8
## La4Pr2Y2Mg (PBE-GGA)

Data for a relaxed structure of La4Pr2Y2Mg.

a = 8.150 Å, b = 8.930 Å, c = 6.329 Å
α = 118.27°, β = 130.27°, γ = 68.42°
Fractional positions:
1 La 0.551 0.892 0.227
2 La 0.673 0.664 0.672
3 La 0.449 0.108 0.773
4 La 0.327 0.336 0.328
5 Pr 0.106 0.781 0.444
6 Pr 0.894 0.219 0.556
7 Y 0.776 0.439 0.107
8 Y 0.224 0.561 0.893
9 Mg 0.000 0.000 0.000

## Properties
space group = No. 2
energy of formation = 0.011 eV per atom
theoretical density = 5.60 g/cm³
N(E_F) = 12.79 states/eV/f.u.